This record from Alexandria via LeMat-Bulk describes SrHfO2F after structural relaxation. The functional is PBE-GGA.

symmetry: No. 123
energy: -7.626 eV per atom

Cell: 4.180 4.180 4.290 Å, 90.00 90.00 90.00°
Element x y z (fractional)
Sr 0.000 0.000 0.000
Hf 0.500 0.500 0.500
O 0.000 0.500 0.500
O 0.500 0.000 0.500
F 0.500 0.500 0.000



This record from Alexandria via LeMat-Bulk describes SrHfO2F after structural relaxation. The functional is PBE-GGA.

symmetry: No. 123
energy: -5.748 eV per atom

Cell: 4.602 4.602 4.275 Å, 90.00 90.00 90.00°
Element x y z (fractional)
Sr 0.000 0.000 0.000
Hf 0.500 0.500 0.500
O 0.000 0.500 0.000
O 0.500 0.000 0.000
F 0.000 0.000 0.500



This record from Alexandria via LeMat-Bulk describes HfTaOF2 after structural relaxation. The functional is PBE-GGA.

polymorph energy (0 for the lowest one): 0.201 eV per atom
symmetry: No. 123

Cell: 4.372 4.372 3.946 Å, 90.00 90.00 90.00°
Element x y z (fractional)
Hf 0.000 0.000 0.000
Ta 0.500 0.500 0.500
O 0.500 0.500 0.000
F 0.000 0.500 0.500
F 0.500 0.000 0.500



This record from Alexandria via LeMat-Bulk describes HfTaO2F after structural relaxation. The functional is PBE-GGA.

symmetry: No. 123
energy: -8.056 eV per atom

Cell: 4.017 4.017 4.275 Å, 90.00 90.00 90.00°
Element x y z (fractional)
Hf 0.000 0.000 0.000
Ta 0.500 0.500 0.500
O 0.000 0.500 0.500
O 0.500 0.000 0.500
F 0.500 0.500 0.000



This record from Alexandria via LeMat-Bulk describes HfTaO2F after structural relaxation. The functional is PBE-GGA.

symmetry: No. 123
energy: -8.160 eV per atom

Cell: 4.154 4.154 4.127 Å, 90.00 90.00 90.00°
Element x y z (fractional)
Hf 0.000 0.000 0.000
Ta 0.500 0.500 0.500
O 0.000 0.500 0.000
O 0.500 0.000 0.000
F 0.000 0.000 0.500



This record from Alexandria via LeMat-Bulk describes HfTaOF2 after structural relaxation. The functional is PBE-GGA.

polymorph energy (0 for the lowest one): 0.000 eV per atom
symmetry: No. 123

Cell: 4.290 4.290 4.124 Å, 90.00 90.00 90.00°
Element x y z (fractional)
Hf 0.000 0.000 0.000
Ta 0.500 0.500 0.500
O 0.000 0.000 0.500
F 0.000 0.500 0.000
F 0.500 0.000 0.000



This record from Alexandria via LeMat-Bulk describes HfTcO2F after structural relaxation. The functional is PBE-GGA.

symmetry: No. 123
energy: -8.084 eV per atom

Cell: 4.124 4.124 4.160 Å, 90.00 90.00 90.00°
Element x y z (fractional)
Hf 0.000 0.000 0.000
Tc 0.500 0.500 0.500
O 0.000 0.500 0.000
O 0.500 0.000 0.000
F 0.000 0.000 0.500



This record from Alexandria via LeMat-Bulk describes HfTcOF2 after structural relaxation. The functional is PBE-GGA.

polymorph energy (0 for the lowest one): 0.000 eV per atom
symmetry: No. 123

Cell: 4.275 4.275 4.061 Å, 90.00 90.00 90.00°
Element x y z (fractional)
Hf 0.000 0.000 0.000
Tc 0.500 0.500 0.500
O 0.000 0.000 0.500
F 0.000 0.500 0.000
F 0.500 0.000 0.000